Here is a relaxed structure of ZrAgC from Alexandria via LeMat-Bulk. Energies are from PBE.

Final energy, eV per cell: -39.68
Space-group type: R-3m (166)

The structure in POSCAR format:
```
ZrAgC
1.0
1.744 1.007 9.672
-1.744 1.007 9.672
0.000 -2.014 9.672
Zr Ag C
2 2 2
direct
0.115 0.115 0.115
0.885 0.885 0.885
0.369 0.369 0.369
0.631 0.631 0.631
0.246 0.246 0.246
0.754 0.754 0.754
```

=====

Here is a relaxed structure of UGaCo5Ge2 from Alexandria via LeMat-Bulk. Energies are from PBE.

Final energy, eV per cell: -55.84
Space-group type: P4/mmm (123)

The structure in POSCAR format:
```
UGaCo5Ge2
1.0
4.353 0.000 0.000
0.000 4.353 0.000
0.000 0.000 7.541
U Ga Co Ge
1 1 5 2
direct
0.000 0.000 0.000
0.000 0.000 0.500
0.000 0.500 0.334
0.000 0.500 0.666
0.500 0.000 0.334
0.500 0.000 0.666
0.500 0.500 0.000
0.500 0.500 0.290
0.500 0.500 0.710
```

=====

Here is a relaxed structure of ZrCuNF2 from Alexandria via LeMat-Bulk. Energies are from PBE.

Formation energy without anion corrections, eV per atom: -1.399
Space-group type: P4/mmm (123)

The structure in POSCAR format:
```
ZrCuNF2
1.0
4.183 0.000 0.000
0.000 4.183 0.000
0.000 0.000 4.253
Zr Cu N F
1 1 1 2
direct
0.000 0.000 0.000
0.500 0.500 0.500
0.000 0.000 0.500
0.000 0.500 0.000
0.500 0.000 0.000
```

=====

Here is a relaxed structure of CaTe2Pd from Alexandria via LeMat-Bulk. Energies are from PBE.

Formation energy without anion corrections, eV per atom: -0.517
Space-group type: Fm-3m (225)

The structure in POSCAR format:
```
CaTe2Pd
1.0
7.357 0.000 0.000
0.000 7.357 0.000
0.000 0.000 7.357
Ca Te Pd
4 8 4
direct
0.000 0.000 0.000
0.000 0.500 0.500
0.500 0.000 0.500
0.500 0.500 0.000
0.250 0.250 0.250
0.250 0.250 0.750
0.250 0.750 0.250
0.250 0.750 0.750
0.750 0.250 0.250
0.750 0.250 0.750
0.750 0.750 0.250
0.750 0.750 0.750
0.000 0.000 0.500
0.000 0.500 0.000
0.500 0.000 0.000
0.500 0.500 0.500
```

=====

Here is a relaxed structure of In2GaAu6 from Alexandria via LeMat-Bulk. Energies are from PBE.

Final energy, eV per cell: -28.78
Space-group type: C2 (5)

The structure in POSCAR format:
```
In2GaAu6
1.0
7.168 -3.294 0.000
7.168 3.294 0.000
-0.005 0.000 3.879
In Ga Au
2 1 6
direct
0.190 0.190 0.000
0.810 0.810 0.000
0.582 0.418 0.500
0.165 0.835 0.500
0.279 0.500 0.000
0.500 0.721 0.000
0.501 0.134 0.500
0.854 0.146 0.000
0.866 0.499 0.500
```

=====

Here is a relaxed structure of BaCdAsBr2 from Alexandria via LeMat-Bulk. Energies are from PBE.

Formation energy without anion corrections, eV per atom: -0.429
Space-group type: P4/mmm (123)

The structure in POSCAR format:
```
BaCdAsBr2
1.0
6.236 0.000 0.000
0.000 6.236 0.000
0.000 0.000 6.811
Ba Cd As Br
1 1 1 2
direct
0.000 0.000 0.000
0.500 0.500 0.500
0.000 0.000 0.500
0.000 0.500 0.000
0.500 0.000 0.000
```

=====

Here is a relaxed structure of TbSm2Rh2 from Alexandria via LeMat-Bulk. Energies are from PBE.

Final energy, eV per cell: -64.00
Space-group type: Cmc2_1 (36)

The structure in POSCAR format:
```
TbSm2Rh2
1.0
1.974 -6.545 0.000
1.974 6.545 0.000
0.000 0.000 9.891
Tb Sm Rh
2 4 4
direct
0.148 0.852 0.500
0.852 0.148 0.000
0.140 0.860 0.868
0.402 0.598 0.687
0.598 0.402 0.187
0.860 0.140 0.368
0.257 0.743 0.183
0.495 0.505 0.940
0.505 0.495 0.440
0.743 0.257 0.683
```

=====

Here is a relaxed structure of Li3Si2Au4Se2 from Alexandria via LeMat-Bulk. Energies are from PBE.

Formation energy without anion corrections, eV per atom: -0.395
Space-group type: I4/mmm (139)

The structure in POSCAR format:
```
Li3Si2Au4Se2
1.0
-2.125 2.125 12.851
2.125 -2.125 12.851
2.125 2.125 -12.851
Li Si Au Se
3 2 4 2
direct
0.000 0.000 0.000
0.197 0.197 0.000
0.803 0.803 0.000
0.393 0.393 0.000
0.607 0.607 0.000
0.060 0.560 0.500
0.440 0.940 0.500
0.560 0.060 0.500
0.940 0.440 0.500
0.304 0.304 0.000
0.696 0.696 0.000
```

=====

Here is a relaxed structure of Sm2TcWN6 from Alexandria via LeMat-Bulk. Energies are from PBE.

Formation energy without anion corrections, eV per atom: -0.712
Space-group type: P2_1/c (14)

The structure in POSCAR format:
```
Sm2TcWN6
1.0
5.537 0.000 0.000
0.000 5.639 0.000
-5.510 0.000 7.832
Sm Tc W N
4 2 2 12
direct
0.241 0.048 0.250
0.241 0.452 0.750
0.759 0.548 0.250
0.759 0.952 0.750
0.000 0.000 0.500
0.000 0.500 0.000
0.500 0.000 0.000
0.500 0.500 0.500
0.169 0.210 0.960
0.169 0.290 0.460
0.249 0.710 0.960
0.249 0.790 0.460
0.324 0.013 0.749
0.324 0.487 0.249
0.676 0.513 0.751
0.676 0.987 0.251
0.751 0.210 0.540
0.751 0.290 0.040
0.831 0.710 0.540
0.831 0.790 0.040
```

=====

Here is a relaxed structure of BiRu2IBr from Alexandria via LeMat-Bulk. Energies are from PBE.

Formation energy without anion corrections, eV per atom: 1.455
Space-group type: P4/mmm (123)

The structure in POSCAR format:
```
BiRu2IBr
1.0
4.872 0.000 0.000
0.000 4.872 0.000
0.000 0.000 5.840
Bi Ru I Br
1 2 1 1
direct
0.000 0.000 0.000
0.000 0.500 0.500
0.500 0.000 0.500
0.500 0.500 0.500
0.500 0.500 0.000
```

=====

Here is a relaxed structure of CaCd9Ni2 from Alexandria via LeMat-Bulk. Energies are from PBE.

Final energy, eV per cell: -45.19
Space-group type: I4_1/amd (141)

The structure in POSCAR format:
```
CaCd9Ni2
1.0
-5.826 5.826 3.740
5.826 -5.826 3.740
5.826 5.826 -3.740
Ca Cd Ni
2 18 4
direct
0.375 0.625 0.750
0.625 0.375 0.250
0.125 0.875 0.250
0.133 0.564 0.327
0.133 0.806 0.569
0.194 0.262 0.327
0.194 0.867 0.931
0.262 0.194 0.827
0.262 0.436 0.069
0.436 0.262 0.569
0.436 0.867 0.173
0.564 0.133 0.827
0.564 0.738 0.431
0.738 0.564 0.931
0.738 0.806 0.173
0.806 0.133 0.069
0.806 0.738 0.673
0.867 0.194 0.431
0.867 0.436 0.673
0.875 0.125 0.750
0.000 0.000 0.000
0.000 0.000 0.500
0.000 0.500 0.000
0.500 0.000 0.500
```

=====

Here is a relaxed structure of Cd2AgGe2Pd5 from Alexandria via LeMat-Bulk. Energies are from PBE.

Final energy, eV per cell: -84.97
Space-group type: P4/mbm (127)

The structure in POSCAR format:
```
Cd2AgGe2Pd5
1.0
9.739 0.000 0.000
0.000 9.739 0.000
0.000 0.000 3.640
Cd Ag Ge Pd
4 2 4 10
direct
0.172 0.328 0.000
0.328 0.828 0.000
0.672 0.172 0.000
0.828 0.672 0.000
0.000 0.000 0.000
0.500 0.500 0.000
0.129 0.629 0.000
0.371 0.129 0.000
0.629 0.871 0.000
0.871 0.371 0.000
0.000 0.500 0.500
0.075 0.796 0.500
0.204 0.075 0.500
0.296 0.575 0.500
0.425 0.296 0.500
0.500 0.000 0.500
0.575 0.704 0.500
0.704 0.425 0.500
0.796 0.925 0.500
0.925 0.204 0.500
```

=====

Here is a relaxed structure of Bi3AsBr from Alexandria via LeMat-Bulk. Energies are from PBE.

Formation energy without anion corrections, eV per atom: 0.438
Space-group type: Pm-3m (221)

The structure in POSCAR format:
```
Bi3AsBr
1.0
5.625 0.000 0.000
0.000 5.625 0.000
0.000 0.000 5.625
Bi As Br
3 1 1
direct
0.000 0.000 0.500
0.000 0.500 0.000
0.500 0.000 0.000
0.000 0.000 0.000
0.500 0.500 0.500
```

=====

Here is a relaxed structure of Cs2TlHg6Au from Alexandria via LeMat-Bulk. Energies are from PBE.

Final energy, eV per cell: -10.65
Space-group type: C2/m (12)

The structure in POSCAR format:
```
Cs2TlHg6Au
1.0
5.840 -5.826 0.000
5.840 5.826 0.000
-5.825 0.000 5.852
Cs Tl Hg Au
2 1 6 1
direct
0.250 0.750 0.000
0.750 0.250 0.000
0.000 0.000 0.500
0.259 0.259 0.500
0.259 0.741 0.500
0.260 0.260 0.019
0.740 0.740 0.981
0.741 0.259 0.500
0.741 0.741 0.500
0.500 0.500 0.500
```

=====

Here is a relaxed structure of Tb5SbPt2 from Alexandria via LeMat-Bulk. Energies are from PBE.

Formation energy without anion corrections, eV per atom: -0.989
Space-group type: I4/mcm (140)

The structure in POSCAR format:
```
Tb5SbPt2
1.0
-3.907 3.907 6.820
3.907 -3.907 6.820
3.907 3.907 -6.820
Tb Sb Pt
10 2 4
direct
0.000 0.000 0.000
0.019 0.519 0.815
0.203 0.019 0.500
0.297 0.797 0.815
0.481 0.297 0.500
0.500 0.500 0.000
0.519 0.703 0.500
0.703 0.203 0.185
0.797 0.981 0.500
0.981 0.481 0.185
0.250 0.250 0.000
0.750 0.750 0.000
0.138 0.362 0.500
0.362 0.862 0.224
0.638 0.138 0.776
0.862 0.638 0.500
```

=====

Here is a relaxed structure of LaDyHgAu from Alexandria via LeMat-Bulk. Energies are from PBE.

Final energy, eV per cell: -15.73
Space-group type: P4mm (99)

The structure in POSCAR format:
```
LaDyHgAu
1.0
3.719 0.000 0.000
0.000 3.719 0.000
0.000 0.000 7.632
La Dy Hg Au
1 1 1 1
direct
0.000 0.000 0.000
0.000 0.000 0.476
0.500 0.500 0.720
0.500 0.500 0.271
```

=====

Here is a relaxed structure of KZr4Cr from Alexandria via LeMat-Bulk. Energies are from PBE.

Final energy, eV per cell: -39.42
Space-group type: F-43m (216)

The structure in POSCAR format:
```
KZr4Cr
1.0
0.000 4.255 4.255
4.255 0.000 4.255
4.255 4.255 0.000
K Zr Cr
1 4 1
direct
0.000 0.000 0.000
0.135 0.622 0.622
0.622 0.135 0.622
0.622 0.622 0.135
0.622 0.622 0.622
0.250 0.250 0.250
```

=====

Here is a relaxed structure of HoTm5Pt6 from Alexandria via LeMat-Bulk. Energies are from PBE.

Final energy, eV per cell: -78.55
Space-group type: C2/m (12)

The structure in POSCAR format:
```
HoTm5Pt6
1.0
4.225 -7.324 0.000
4.225 7.324 0.000
-2.822 0.000 3.990
Ho Tm Pt
1 5 6
direct
0.000 0.000 0.000
0.167 0.833 0.500
0.333 0.667 0.000
0.500 0.500 0.500
0.667 0.333 0.000
0.833 0.167 0.500
0.083 0.419 0.251
0.253 0.253 0.753
0.419 0.083 0.251
0.581 0.917 0.749
0.747 0.747 0.247
0.917 0.581 0.749
```

=====

Here is a relaxed structure of NiPtCl from Alexandria via LeMat-Bulk. Energies are from PBE.

Formation energy without anion corrections, eV per atom: 0.067
Space-group type: Cm (8)

The structure in POSCAR format:
```
NiPtCl
1.0
6.011 0.000 0.000
0.000 3.456 0.000
-2.000 0.000 10.724
Ni Pt Cl
4 4 4
direct
0.000 0.000 0.000
0.126 0.500 0.876
0.500 0.500 0.000
0.626 0.000 0.876
0.027 0.500 0.580
0.412 0.500 0.737
0.527 0.000 0.580
0.912 0.000 0.737
0.147 0.000 0.439
0.369 0.000 0.110
0.647 0.500 0.439
0.869 0.500 0.110
```